Model a:
Density functional theory data (GGA-PBE) for crystalline Sr2MgCd2 at its relaxed geometry.

Structure (CIF):
```
data_Sr2MgCd2
_chemical_formula_sum 'Sr4 Mg2 Cd4'
_symmetry_space_group_name_H-M 'I 4/m m m'
_symmetry_Int_Tables_number 139
_symmetry_space_group_name_Hall '-I 4 2'
_cell_length_a 4.275
_cell_length_b 4.275
_cell_length_c 19.589
_cell_angle_alpha 90.00
_cell_angle_beta 90.00
_cell_angle_gamma 90.00
loop_
_atom_site_label
_atom_site_fract_x
_atom_site_fract_y
_atom_site_fract_z
_atom_site_occupancy
Sr1 0.000 0.000 0.107 1
Mg1 0.000 0.000 0.500 1
Cd1 0.000 0.500 0.250 1
```

Model b:
Density functional theory data (GGA-PBE) for crystalline Sr2MgCd2 at its relaxed geometry.

Structure (CIF):
```
data_Sr2MgCd2
_chemical_formula_sum 'Sr4 Mg2 Cd4'
_symmetry_space_group_name_H-M 'I 4/m m m'
_symmetry_Int_Tables_number 139
_symmetry_space_group_name_Hall '-I 4 2'
_cell_length_a 6.491
_cell_length_b 6.491
_cell_length_c 8.535
_cell_angle_alpha 90.00
_cell_angle_beta 90.00
_cell_angle_gamma 90.00
loop_
_atom_site_label
_atom_site_fract_x
_atom_site_fract_y
_atom_site_fract_z
_atom_site_occupancy
Sr1 0.000 0.500 0.250 1
Mg1 0.000 0.000 0.000 1
Cd1 0.000 0.000 0.341 1
```

Model c:
Density functional theory data (GGA-PBE) for crystalline Sr2MgCd2 at its relaxed geometry.

Structure (CIF):
```
data_Sr2MgCd2
_chemical_formula_sum 'Sr4 Mg2 Cd4'
_symmetry_space_group_name_H-M 'P 4/m b m'
_symmetry_Int_Tables_number 127
_symmetry_space_group_name_Hall '-P 4 2ab'
_cell_length_a 9.448
_cell_length_b 9.448
_cell_length_c 3.925
_cell_angle_alpha 90.00
_cell_angle_beta 90.00
_cell_angle_gamma 90.00
loop_
_atom_site_label
_atom_site_fract_x
_atom_site_fract_y
_atom_site_fract_z
_atom_site_occupancy
Sr1 0.152 0.348 0.000 1
Mg1 0.000 0.000 0.000 1
Cd1 0.143 0.643 0.500 1
```

Model d:
Density functional theory data (GGA-PBE) for crystalline Sr2MgCd2 at its relaxed geometry.

Structure (CIF):
```
data_Sr2MgCd2
_chemical_formula_sum 'Sr8 Mg4 Cd8'
_symmetry_space_group_name_H-M 'C 1 2/m 1'
_symmetry_Int_Tables_number 12
_cell_length_a 12.878
_cell_length_b 4.812
_cell_length_c 12.171
_cell_angle_alpha 90.00
_cell_angle_beta 118.24
_cell_angle_gamma 90.00
loop_
_symmetry_equiv_pos_as_xyz
'x,y,z'
'-x,-y,-z'
'-x,y,-z'
'x,-y,z'
'x+1/2,y+1/2,z'
'-x+1/2,-y+1/2,-z'
'-x+1/2,y+1/2,-z'
'x+1/2,-y+1/2,z'
loop_
_atom_site_label
_atom_site_fract_x
_atom_site_fract_y
_atom_site_fract_z
_atom_site_occupancy
Sr1 0.004 0.000 0.174 1
Sr2 0.191 0.000 0.611 1
Mg1 0.222 0.500 0.871 1
Cd1 0.013 0.500 0.383 1
Cd2 0.133 0.500 0.063 1
```

Which of them is most stable? Easy: model d.

Model a:
Density functional theory data (GGA-PBE) for crystalline Sr8Mg2Cd at its relaxed geometry.

Structure (CIF):
```
data_Sr8Mg2Cd
_chemical_formula_sum 'Sr16 Mg4 Cd2'
_symmetry_space_group_name_H-M 'I m m m'
_symmetry_Int_Tables_number 71
_symmetry_space_group_name_Hall '-I 2 2'
_cell_length_a 5.898
_cell_length_b 10.146
_cell_length_c 16.234
_cell_angle_alpha 90.00
_cell_angle_beta 90.00
_cell_angle_gamma 90.00
loop_
_atom_site_label
_atom_site_fract_x
_atom_site_fract_y
_atom_site_fract_z
_atom_site_occupancy
Sr1 0.000 0.000 0.132 1
Sr2 0.000 0.218 0.342 1
Sr3 0.000 0.320 0.000 1
Mg1 0.000 0.500 0.199 1
Cd1 0.000 0.500 0.500 1
```

Model b:
Density functional theory data (GGA-PBE) for crystalline Sr8Mg2Cd at its relaxed geometry.

Structure (CIF):
```
data_Sr8Mg2Cd
_chemical_formula_sum 'Sr16 Mg4 Cd2'
_symmetry_space_group_name_H-M 'C 1 2/m 1'
_symmetry_Int_Tables_number 12
_cell_length_a 20.836
_cell_length_b 6.003
_cell_length_c 8.239
_cell_angle_alpha 90.00
_cell_angle_beta 108.74
_cell_angle_gamma 90.00
loop_
_symmetry_equiv_pos_as_xyz
'x,y,z'
'-x,-y,-z'
'-x,y,-z'
'x,-y,z'
'x+1/2,y+1/2,z'
'-x+1/2,-y+1/2,-z'
'-x+1/2,y+1/2,-z'
'x+1/2,-y+1/2,z'
loop_
_atom_site_label
_atom_site_fract_x
_atom_site_fract_y
_atom_site_fract_z
_atom_site_occupancy
Sr1 0.024 0.000 0.285 1
Sr2 0.095 0.500 0.943 1
Sr3 0.161 0.500 0.459 1
Sr4 0.202 0.000 0.798 1
Mg1 0.181 0.000 0.207 1
Cd1 0.000 0.500 0.500 1
```

Which of them is most stable? Easy: model b.